(1)
A geometry-optimized La2CrPbC structure. Source: Alexandria, functional GGA-PBE.

POSCAR file:
```
La2CrPbC
1.0
5.480 0.000 0.000
0.000 5.480 0.000
0.000 0.000 4.010
La Cr Pb C
2 1 1 1
Direct
0.000 0.500 0.000
0.500 0.000 0.000
0.000 0.000 0.500
0.500 0.500 0.500
0.000 0.000 0.000
```

The total magnetic moment is 0.56 μB per atom. The value obtained for the density of states at the Fermi level is 0.77 states/eV/atom. The formation enthalpy at 0 K is -0.942 eV per formula unit.

---

(2)
A geometry-optimized La2PuCr2C4 structure. Source: Alexandria, functional GGA-PBE.

POSCAR file:
```
La2PuCr2C4
1.0
6.765 -1.756 0.000
6.765 1.756 0.000
-2.064 0.000 5.735
La Pu Cr C
2 1 2 4
Direct
0.132 0.132 0.030
0.868 0.868 0.970
0.000 0.000 0.500
0.318 0.318 0.497
0.682 0.682 0.503
0.216 0.216 0.667
0.450 0.450 0.720
0.550 0.550 0.280
0.784 0.784 0.333
```

The total magnetic moment is 0.60 μB per atom. The value obtained for the density of states at the Fermi level is 1.28 states/eV/atom. The formation enthalpy at 0 K is -0.495 eV per formula unit.

---

(3)
A geometry-optimized LaCr2RhC structure. Source: Alexandria, functional GGA-PBE.

POSCAR file:
```
LaCr2RhC
1.0
4.145 0.000 0.000
0.000 4.145 0.000
0.000 0.000 4.408
La Cr Rh C
1 2 1 1
Direct
0.000 0.000 0.000
0.000 0.500 0.500
0.500 0.000 0.500
0.500 0.500 0.000
0.500 0.500 0.500
```

The total magnetic moment is 0.93 μB per atom. The value obtained for the density of states at the Fermi level is 1.17 states/eV/atom. The formation enthalpy at 0 K is 0.746 eV per formula unit.

---

(4)
A geometry-optimized LaCrSi2C structure. Source: Alexandria, functional GGA-PBE.

POSCAR file:
```
LaCrSi2C
1.0
5.522 0.000 0.000
0.000 5.522 0.000
0.000 0.000 4.255
La Cr Si C
1 1 2 1
Direct
0.000 0.000 0.000
0.500 0.500 0.500
0.000 0.500 0.000
0.500 0.000 0.000
0.000 0.000 0.500
```

The total magnetic moment is 0.89 μB per atom. As for the uncorrected formation energy: 1.994 eV/atom. The value obtained for the density of states at the Fermi level is 0.77 states/eV/atom.

---

The highest density of states at the Fermi level belongs to which entry?
La2PuCr2C4